Entry 1:
First-principles (GGA-PBE) data for an optimized crystal structure of Ac5Ta2O12, as listed in OQMD.

a = 7.341 Å, b = 7.341 Å, c = 8.078 Å
α = 105.68°, β = 105.68°, γ = 50.28°
Fractional coordinates of all 19 atoms:
Ac (0.000, 0.000, 0.000)
Ac (0.308, 0.308, 0.667)
Ac (0.311, 0.311, 0.143)
Ac (0.689, 0.689, 0.857)
Ac (0.692, 0.692, 0.333)
Ta (0.232, 0.768, 0.500)
Ta (0.768, 0.232, 0.500)
O (0.001, 0.001, 0.682)
O (0.094, 0.594, 0.920)
O (0.104, 0.586, 0.424)
O (0.406, 0.906, 0.080)
O (0.414, 0.896, 0.576)
O (0.499, 0.499, 0.664)
O (0.501, 0.501, 0.336)
O (0.586, 0.104, 0.424)
O (0.594, 0.094, 0.920)
O (0.896, 0.414, 0.576)
O (0.906, 0.406, 0.080)
O (0.999, 0.999, 0.318)

As for the volume: 319.6 Å³ per cell. The total DFT energy (no corrections) comes out at -165.5 eV for the cell shown.

Entry 2:
First-principles (GGA-PBE) data for an optimized crystal structure of ZrHg3Br6, as listed in OQMD.

a = 7.759 Å, b = 7.759 Å, c = 7.759 Å
α = 60.00°, β = 60.00°, γ = 60.00°
Fractional coordinates of all 10 atoms:
Zr (0.000, 0.000, 0.000)
Hg (0.250, 0.250, 0.250)
Hg (0.500, 0.500, 0.500)
Hg (0.750, 0.750, 0.750)
Br (0.240, 0.240, 0.760)
Br (0.240, 0.760, 0.240)
Br (0.240, 0.760, 0.760)
Br (0.760, 0.240, 0.240)
Br (0.760, 0.240, 0.760)
Br (0.760, 0.760, 0.240)

As for the volume: 330.3 Å³ per cell. The total DFT energy (no corrections) comes out at -25.9 eV for the cell shown.